Nd3DyGe4 (PBE, optimized geometry); formation enthalpy at 0 K = -681.2 meV per atom; DOS(E_F) = 7.8 states/eV/f.u.; calculated total energy = -5.353 eV per atom
1.0
-2.092 3.227 8.087
2.092 -3.227 8.087
2.092 3.227 -8.087
Nd Dy Ge
3 1 4
Direct
0.000 0.000 0.000
0.305 0.805 0.500
0.695 0.195 0.500
0.500 0.500 0.000
0.063 0.370 0.693
0.322 0.630 0.693
0.678 0.370 0.307
0.937 0.630 0.307